Li8Zn3Pd2 | Alexandria via LeMat-Bulk | PBE | relaxed; total DFT energy (no corrections) = -31.82 eV for the cell shown; E_form = -0.177 eV/atom
1.0
5.395 0.000 0.484
0.000 7.339 0.000
-1.544 -3.670 5.473
Li Zn Pd
8 3 2
Cartesian
1.867 -1.400 4.317
1.985 2.269 1.640
1.985 5.070 1.640
-0.510 0.000 4.525
1.867 1.400 4.317
3.779 0.000 2.590
4.361 3.670 1.433
0.073 3.670 3.367
2.698 0.000 0.242
0.000 6.035 0.000
0.000 1.304 0.000
0.985 0.000 2.151
2.866 3.670 3.806

LiZnPd3 | Alexandria via LeMat-Bulk | PBE | relaxed; ΔE to the lowest computed polymorph = 2.69 kcal/mol of atoms; total DFT energy (no corrections) = -80.79 eV for the cell shown; E_form = -0.286 eV/atom
1.0
-3.460 -2.381 3.314
-2.929 -3.659 -5.686
4.886 -5.595 1.083
Pd Li Zn
12 4 4
Cartesian
-0.032 -6.397 -3.780
-0.202 -4.622 -0.060
-3.942 -6.336 -1.939
-2.061 -2.493 -0.472
2.439 -5.298 0.650
1.828 -8.526 -3.368
-3.331 -3.108 2.079
0.166 -7.166 1.253
0.558 -9.141 -0.817
-1.471 -5.237 2.491
-1.301 -7.012 -1.229
-1.669 -4.468 -2.543
1.163 -6.757 -1.128
-2.666 -4.877 -0.161
-1.969 -9.698 -2.193
0.466 -1.936 0.904
0.713 -3.988 2.198
0.979 -4.627 -2.302
-1.730 -1.190 1.657
-1.464 -1.829 -2.843

Li2Zn3Pd8 | Alexandria via LeMat-Bulk | PBE | relaxed; total DFT energy (no corrections) = -50.72 eV for the cell shown; E_form = -0.117 eV/atom
1.0
-4.367 -1.633 -2.484
-0.749 -5.148 -0.916
-5.791 -3.035 6.561
Li Pd Zn
2 8 3
Cartesian
-7.168 -5.234 4.810
-3.738 -4.583 -1.649
-5.401 -3.929 3.657
-2.436 -2.399 0.244
-7.587 -4.747 2.414
-5.776 -6.506 3.199
-8.470 -7.418 2.917
-5.130 -3.311 -0.038
-3.319 -5.070 0.747
-5.505 -5.888 -0.496
0.000 0.000 0.000
-3.567 -2.614 2.373
-7.339 -7.203 0.788

LiZn3Pd | Alexandria via LeMat-Bulk | PBE | relaxed; ΔE to the lowest computed polymorph = 3.38 kcal/mol of atoms; total DFT energy (no corrections) = -47.98 eV for the cell shown; E_form = -0.213 eV/atom
1.0
-2.995 -3.923 4.376
5.344 0.581 4.174
-2.599 5.464 3.116
Li Zn Pd
4 12 4
Cartesian
0.701 -0.889 7.136
-3.410 1.638 6.589
-0.952 3.010 4.529
3.159 0.483 5.077
-0.266 4.105 6.703
0.016 -1.984 4.962
-1.204 1.649 2.412
-0.890 1.571 6.742
-2.773 -2.495 4.575
-2.230 -0.568 6.928
0.954 0.472 9.253
2.523 4.616 7.090
0.640 0.550 4.923
0.123 3.209 9.158
-0.373 -1.088 2.507
1.979 2.689 4.737
1.577 2.080 7.212
1.474 0.894 2.506
-1.725 1.227 9.159
-1.827 0.041 4.453

Please write out number 1 again, unchanged.
Li8Zn3Pd2 | Alexandria via LeMat-Bulk | PBE | relaxed; total DFT energy (no corrections) = -31.82 eV for the cell shown; E_form = -0.177 eV/atom
1.0
5.395 0.000 0.484
0.000 7.339 0.000
-1.544 -3.670 5.473
Li Zn Pd
8 3 2
Cartesian
1.867 -1.400 4.317
1.985 2.269 1.640
1.985 5.070 1.640
-0.510 0.000 4.525
1.867 1.400 4.317
3.779 0.000 2.590
4.361 3.670 1.433
0.073 3.670 3.367
2.698 0.000 0.242
0.000 6.035 0.000
0.000 1.304 0.000
0.985 0.000 2.151
2.866 3.670 3.806